(1)
A plane-wave DFT calculation with PBE-GGA was carried out for a geometry-optimized CeGa2Pd2 structure.

Summary:
Its calculated total energy is -5.231 eV per atom. The calculation puts the total magnetic moment at 1.42 μB per cell. As for the crystal system: tetragonal.

Cell lengths 4.308, 4.308, 10.385 Å; angles 90.00, 90.00, 90.00 degrees
Last column: magnetic moment on the atom in μB.
Fractional positions:
1 Ce 0.000 0.500 0.255  0.63
2 Pd 0.000 0.000 0.000  0.00
3 Pd 0.000 0.500 0.633  -0.01
4 Ga 0.500 0.500 0.500  0.00
5 Ce 0.500 0.000 0.745  0.63
6 Ga 0.500 0.000 0.128  0.00
7 Ga 0.000 0.000 0.500  0.00
8 Pd 0.500 0.500 0.000  0.00
9 Pd 0.500 0.000 0.367  -0.01
10 Ga 0.000 0.500 0.872  0.00

(2)
A plane-wave DFT calculation with PBE-GGA was carried out for a geometry-optimized DyErInGa structure.

Summary:
Its calculated total energy is -4.244 eV per atom. The calculation puts the total magnetic moment at 0.00 μB per cell. As for the crystal system: tetragonal. The polymorph energy (0 for the lowest one) comes out at 0 meV/atom.

Cell lengths 3.554, 3.554, 7.736 Å; angles 90.00, 90.00, 90.00 degrees
Fractional positions:
1 Ga 0.000 0.000 0.359
2 Er 0.500 0.500 0.591
3 In 0.000 0.000 0.854
4 Dy 0.500 0.500 0.123

Look up the calculated total energy of the second one.
-4.244 eV per atom

Among the records above, which one has the highest total magnetic moment?
CeGa2Pd2

Number 2 is which compound?
DyErInGa

What is the calculated total energy in the second record?
-4.244 eV per atom